Compound: K3Mo2Br9
Source: Alexandria via LeMat-Bulk
Functional: PBEsol
Structure: optimized geometry

The calculation puts the formation energy (no corrections) at -14.613 eV per formula unit.

a b c (Å): 7.3690 7.3690 18.0174
angles (deg): 90.00 90.00 120.00
Space group P6_3/m (No. 176)
Symmetry-distinct sites (fractional):
K 0.0000 0.0000 0.2500
K 0.3333 0.6667 0.0556
Mo 0.3333 0.6667 0.6726
Br 0.0024 0.5503 0.2500
Br 0.1219 0.7771 0.5916

Compound: MnFe3I
Source: Alexandria via LeMat-Bulk
Functional: PBEsol
Structure: optimized geometry

The calculation puts the formation energy (no corrections) at 6.519 eV per formula unit.

a b c (Å): 4.2791 4.2791 4.2791
angles (deg): 90.00 90.00 90.00
Space group Pm-3m (No. 221)
Symmetry-distinct sites (fractional):
Mn 0.0000 0.0000 0.0000
Fe 0.0000 0.0000 0.5000
I 0.5000 0.5000 0.5000

Compound: BaFe2Ru
Source: Alexandria via LeMat-Bulk
Functional: PBEsol
Structure: optimized geometry

The formation energy comes out at 397.3 kJ/mol of formula units.

a b c (Å): 2.9184 5.0647 9.5243
angles (deg): 90.00 90.00 90.00
Space group Imm2 (No. 44)
Symmetry-distinct sites (fractional):
Ba 0.0000 0.0000 0.0000
Fe 0.0000 0.0000 0.4995
Fe 0.0000 0.5000 0.7937
Ru 0.0000 0.5000 0.2114

Compound: BaInAs2
Source: Alexandria via LeMat-Bulk
Functional: PBEsol
Structure: optimized geometry

The formation energy comes out at -56.4 kJ/mol of formula units.

a b c (Å): 7.4794 7.4794 7.4794
angles (deg): 90.00 90.00 90.00
Space group F-43m (No. 216)
Symmetry-distinct sites (fractional):
Ba 0.0000 0.0000 0.0000
In 0.2500 0.2500 0.7500
As 0.0000 0.0000 0.5000
As 0.2500 0.2500 0.2500

Compound: ZnCrRe2
Source: Alexandria via LeMat-Bulk
Functional: PBEsol
Structure: optimized geometry

The formation energy comes out at 99.7 kJ/mol of formula units.

a b c (Å): 2.9801 4.3031 8.5913
angles (deg): 90.00 90.00 90.00
Space group Cmm2 (No. 35)
Symmetry-distinct sites (fractional):
Zn 0.0000 0.0000 0.0000
Cr 0.0000 0.5000 0.7564
Re 0.0000 0.0000 0.5237
Re 0.0000 0.5000 0.2628

Compound: CaLaY
Source: Alexandria via LeMat-Bulk
Functional: PBEsol
Structure: optimized geometry

The formation energy comes out at 15.0 kJ/mol of formula units. The value obtained for the polymorph energy (0 for the lowest one) is 0 meV per atom.

a b c (Å): 3.6380 3.6380 9.0827
angles (deg): 90.00 90.00 120.00
Space group P3m1 (No. 156)
Symmetry-distinct sites (fractional):
Ca 0.0000 0.0000 0.0000
La 0.3333 0.6667 0.6453
Y 0.6667 0.3333 0.3378